Record 1
4
Lattice="2.8205 0.0000 0.0000 1.4102 2.4426 0.0000 1.4102 0.8142 9.2358" Properties=species:S:1:pos:R:3 comment="Mg2RuW | Alexandria via LeMat-Bulk | meta-GGA SCAN | PBEsol geometry" vol_a3_per_cell=64 sg="R-3m, No. 166" delta_e_f_mev_per_atom=341 polymorph_energy_mev_per_atom=142.5 density_g_cm3=8.7 total_magnetization_mub_per_fu=0.0 pbc="T T T"
Ru 2.8205 1.6284 4.6179
Mg 4.2307 2.4426 6.7973
Mg 1.4102 0.8142 2.4385
W 0.0000 0.0000 0.0000

=====

Record 2
4
Lattice="2.6805 -0.0003 0.0000 -1.0901 2.4489 0.0000 0.0000 0.0000 9.1175" Properties=species:S:1:pos:R:3 comment="MgRu2W | Alexandria via LeMat-Bulk | meta-GGA SCAN | PBEsol geometry" vol_a3_per_cell=60 sg="Cmm2, No. 35" delta_e_f_mev_per_atom=386 density_g_cm3=11.4 total_magnetization_mub_per_fu=0.0 pbc="T T T"
Ru 0.0000 0.0000 9.0665
Ru 0.7952 1.2243 6.8676
W 0.0000 0.0000 4.6723
Mg 0.7952 1.2243 2.1873

=====

Record 3
4
Lattice="-0.9833 -2.3868 -1.0909 0.9901 -0.9334 -2.4499 6.2256 -5.6034 3.0479" Properties=species:S:1:pos:R:3 comment="MgRu2W | Alexandria via LeMat-Bulk | meta-GGA SCAN | PBEsol geometry" vol_a3_per_cell=60 sg="R-3m, No. 166" delta_e_f_mev_per_atom=93 density_g_cm3=11.4 total_magnetization_mub_per_fu=0.0 pbc="T T T"
Ru 1.6180 -2.2742 -0.0825
Mg 0.0000 0.0000 0.0000
W 3.1162 -4.4618 -0.2465
Ru 4.6143 -6.6493 -0.4104

=====

Record 4
4
Lattice="3.0701 0.0000 0.0000 0.0000 3.0701 0.0000 0.0000 0.0000 6.2421" Properties=species:S:1:pos:R:3 comment="MgRu2W | Alexandria via LeMat-Bulk | meta-GGA SCAN | PBEsol geometry" vol_a3_per_cell=59 sg="P4/mmm, No. 123" delta_e_f_mev_per_atom=-190 density_g_cm3=11.6 total_magnetization_mub_per_fu=0.0 pbc="T T T"
Ru 0.0000 0.0000 1.4738
W 1.5351 1.5351 0.0000
Mg 1.5351 1.5351 3.1210
Ru 0.0000 0.0000 4.7683

=====

Record 5
4
Lattice="2.7295 0.0000 0.0912 0.0000 4.2256 0.0000 -1.0925 0.0000 5.0460" Properties=species:S:1:pos:R:3 comment="MgRu2W | Alexandria via LeMat-Bulk | meta-GGA SCAN | PBEsol geometry" vol_a3_per_cell=59 sg="Pm, No. 6" delta_e_f_mev_per_atom=130 density_g_cm3=11.6 total_magnetization_mub_per_fu=0.0 pbc="T T T"
Ru 1.2032 2.1128 1.3882
Mg 0.5010 2.1128 3.9093
Ru 1.6316 0.0000 5.0343
W 2.1215 0.0000 2.5569

=====

Record 6
4
Lattice="2.7011 -0.0055 0.0000 -0.9874 2.5142 0.0000 0.0000 0.0000 9.2271" Properties=species:S:1:pos:R:3 comment="MgRuW2 | Alexandria via LeMat-Bulk | meta-GGA SCAN | PBEsol geometry" vol_a3_per_cell=63 sg="Cmmm, No. 65" delta_e_f_mev_per_atom=383 density_g_cm3=13.1 total_magnetization_mub_per_fu=0.0 pbc="T T T"
Ru 0.8569 1.2544 0.0000
W 0.0000 0.0000 7.0569
W 0.0000 0.0000 2.1701
Mg 0.8569 1.2544 4.6135

=====

Record 7
10
Lattice="4.0952 0.0000 0.0000 0.0000 7.0567 0.0000 0.0000 0.0000 7.0567" Properties=species:S:1:pos:R:3 comment="Y2MgRu2 | Alexandria via LeMat-Bulk | meta-GGA SCAN | PBEsol geometry" vol_a3_per_cell=204 sg="P4/mbm, No. 127" delta_e_f_mev_per_atom=-291 density_g_cm3=6.6 total_magnetization_mub_per_fu=0.0 pbc="T T T"
Mg 0.0000 0.0000 0.0000
Ru 0.0000 4.4307 0.9023
Y 2.0476 1.2207 4.7490
Ru 0.0000 0.9023 2.6260
Ru 0.0000 6.1544 4.4307
Ru 0.0000 2.6260 6.1544
Y 2.0476 5.8361 2.3077
Mg 0.0000 3.5284 3.5284
Y 2.0476 4.7490 5.8361
Y 2.0476 2.3077 1.2207

=====

Record 8
4
Lattice="-3.6678 1.2108 -0.1611 -1.0915 -3.0204 2.1519 3.0301 3.3816 2.8110" Properties=species:S:1:pos:R:3 comment="YMgRu2 | Alexandria via LeMat-Bulk | meta-GGA SCAN | PBEsol geometry" vol_a3_per_cell=69 sg="I-4m2, No. 119" delta_e_f_mev_per_atom=90 density_g_cm3=7.6 total_magnetization_mub_per_fu=1.0 pbc="T T T"
Y -2.3797 -0.9048 0.9954
Ru -1.5087 1.8438 1.8226
Mg -0.2205 -0.2718 2.9791
Ru 0.0000 0.0000 0.0000

=====

Record 9
4
Lattice="-2.3914 2.3458 0.3574 -2.5940 -2.1510 -3.2388 0.2708 -2.9190 5.0941" Properties=species:S:1:pos:R:3 comment="YMg2Ru | Alexandria via LeMat-Bulk | meta-GGA SCAN | PBEsol geometry" vol_a3_per_cell=81 sg="Immm, No. 71" delta_e_f_mev_per_atom=-207 density_g_cm3=4.9 total_magnetization_mub_per_fu=0.0 pbc="T T T"
Y -1.2970 -1.0755 -1.6194
Ru -1.1957 1.1729 0.1787
Mg -0.9414 -1.1955 1.5479
Mg -3.7731 -1.5286 0.6647

=====

Record 10
4
Lattice="3.3364 0.0000 0.0000 0.0000 3.3364 0.0000 0.0000 0.0000 7.5081" Properties=species:S:1:pos:R:3 comment="YMg2Ru | Alexandria via LeMat-Bulk | meta-GGA SCAN | PBEsol geometry" vol_a3_per_cell=84 sg="P4mm, No. 99" delta_e_f_mev_per_atom=-180 density_g_cm3=4.7 total_magnetization_mub_per_fu=0.0 pbc="T T T"
Mg 1.6682 1.6682 2.2106
Mg 0.0000 0.0000 0.2606
Ru 0.0000 0.0000 3.6030
Y 1.6682 1.6682 5.1880

=====

Record 11
4
Lattice="-0.5130 -3.2620 -0.4704 1.9284 0.2395 -3.7640 4.2271 -0.9682 2.1040" Properties=species:S:1:pos:R:3 comment="YMgRu2 | Alexandria via LeMat-Bulk | meta-GGA SCAN | PBEsol geometry" vol_a3_per_cell=68 sg="Pmmm, No. 47" delta_e_f_mev_per_atom=99 density_g_cm3=7.7 total_magnetization_mub_per_fu=0.0 pbc="T T T"
Y 0.7077 -1.5112 -2.1172
Ru 0.0000 0.0000 0.0000
Ru 1.8571 -2.1151 0.8168
Mg 3.0778 -0.3643 -0.8300

=====

Record 12
4
Lattice="-3.3918 1.1482 2.0282 0.2355 -3.3941 2.3153 4.1611 3.3780 0.8713" Properties=species:S:1:pos:R:3 comment="YMg2Ru | Alexandria via LeMat-Bulk | meta-GGA SCAN | PBEsol geometry" vol_a3_per_cell=78 sg="I4/mmm, No. 139" delta_e_f_mev_per_atom=-122 density_g_cm3=5.1 total_magnetization_mub_per_fu=0.0 pbc="T T T"
Mg 1.4093 -0.5695 2.6792
Mg -0.4044 1.7016 2.5356
Ru -1.5781 -1.1230 2.1717
Y 0.0000 0.0000 0.0000

=====

Record 13
4
Lattice="-2.1605 1.8827 -2.5623 -2.0829 -3.1786 -0.5793 -0.4823 1.7999 4.6128" Properties=species:S:1:pos:R:3 comment="Mg2ZnRu | Alexandria via LeMat-Bulk | meta-GGA SCAN | PBEsol geometry" vol_a3_per_cell=62 sg="I-4m2, No. 119" delta_e_f_mev_per_atom=-129 density_g_cm3=5.8 total_magnetization_mub_per_fu=0.4 pbc="T T T"
Mg 0.0000 0.0000 0.0000
Mg -2.3822 1.5173 0.2399
Zn -2.3434 -1.0133 1.2314
Ru -2.1217 -0.6479 -1.5708

=====

Record 14
4
Lattice="3.3429 0.0000 0.0000 0.0000 4.0706 0.0000 -1.6714 -2.0353 4.1922" Properties=species:S:1:pos:R:3 comment="MgZn2Ru | Alexandria via LeMat-Bulk | meta-GGA SCAN | PBEsol geometry" vol_a3_per_cell=57 sg="Imm2, No. 44" delta_e_f_mev_per_atom=-134 density_g_cm3=7.5 total_magnetization_mub_per_fu=0.0 pbc="T T T"
Zn 0.0000 0.0000 0.0054
Mg 1.6714 2.0353 0.0056
Ru 0.0000 2.0353 2.1656
Zn 1.6714 0.0000 2.0157

=====

Record 15
4
Lattice="3.5622 0.0000 0.0000 0.0000 4.1592 0.0000 0.0000 0.0000 4.1592" Properties=species:S:1:pos:R:3 comment="Mg2ZnRu | Alexandria via LeMat-Bulk | meta-GGA SCAN | PBEsol geometry" vol_a3_per_cell=62 sg="P4/mmm, No. 123" delta_e_f_mev_per_atom=-111 density_g_cm3=5.8 total_magnetization_mub_per_fu=0.0 pbc="T T T"
Ru 1.7811 2.0796 2.0796
Mg 0.0000 0.0000 2.0796
Mg 0.0000 2.0796 0.0000
Zn 1.7811 0.0000 0.0000

=====

Record 16
4
Lattice="-0.0611 2.7101 -0.9911 -1.6018 0.6562 -2.3096 -7.5393 2.9233 4.2559" Properties=species:S:1:pos:R:3 comment="Mg2ZnRu | Alexandria via LeMat-Bulk | meta-GGA SCAN | PBEsol geometry" vol_a3_per_cell=65 sg="R-3m, No. 166" delta_e_f_mev_per_atom=75 density_g_cm3=5.5 total_magnetization_mub_per_fu=0.0 pbc="T T T"
Ru -4.6011 3.1448 0.4776
Mg -2.3984 1.5976 0.3138
Zn 0.0000 0.0000 0.0000
Mg -6.8038 4.6920 0.6413

=====

Record 17
5
Lattice="4.6913 0.0000 0.0000 0.0000 4.6913 0.0000 0.0000 0.0000 4.6913" Properties=species:S:1:pos:R:3 comment="MgZn3Ru | Alexandria via LeMat-Bulk | meta-GGA SCAN | PBEsol geometry" vol_a3_per_cell=103 sg="Pm-3m, No. 221" delta_e_f_mev_per_atom=420 polymorph_energy_mev_per_atom=0.0 density_g_cm3=5.2 total_magnetization_mub_per_fu=0.0 pbc="T T T"
Ru 0.0000 0.0000 0.0000
Zn 0.0000 2.3457 0.0000
Mg 2.3457 2.3457 2.3457
Zn 2.3457 0.0000 0.0000
Zn 0.0000 0.0000 2.3457

=====

Record 18
4
Lattice="3.4404 0.0000 0.0000 0.0000 4.1856 0.0000 -1.7202 -2.0928 4.3183" Properties=species:S:1:pos:R:3 comment="Mg2ZnRu | Alexandria via LeMat-Bulk | meta-GGA SCAN | PBEsol geometry" vol_a3_per_cell=62 sg="Imm2, No. 44" delta_e_f_mev_per_atom=-139 density_g_cm3=5.7 total_magnetization_mub_per_fu=0.0 pbc="T T T"
Ru 1.7202 2.0928 0.0996
Mg 1.7202 0.0000 2.2446
Zn 0.0000 2.0928 2.0455
Mg 1.7202 2.0928 4.2469

=====

Record 19
4
Lattice="-3.7339 -0.0240 0.4576 0.3919 -2.1140 3.0869 1.9235 4.3780 0.4618" Properties=species:S:1:pos:R:3 comment="MgZn2Ru | Alexandria via LeMat-Bulk | meta-GGA SCAN | PBEsol geometry" vol_a3_per_cell=57 sg="I4/mmm, No. 139" delta_e_f_mev_per_atom=-158 density_g_cm3=7.5 total_magnetization_mub_per_fu=0.3 pbc="T T T"
Ru 0.0000 0.0000 0.0000
Zn 0.3222 0.5974 2.6605
Mg -1.6710 -1.0690 1.7722
Zn -1.7407 1.6425 1.3458

=====

Record 20
4
Lattice="3.4858 0.0000 0.0000 0.0000 4.1904 0.0000 -1.7429 -2.0952 4.2123" Properties=species:S:1:pos:R:3 comment="Mg2ZnRu | Alexandria via LeMat-Bulk | meta-GGA SCAN | PBEsol geometry" vol_a3_per_cell=62 sg="Immm, No. 71" delta_e_f_mev_per_atom=-84 density_g_cm3=5.8 total_magnetization_mub_per_fu=0.0 pbc="T T T"
Ru 1.7429 0.0000 0.0000
Mg 1.7429 2.0952 2.1081
Mg 0.0000 0.0000 2.1042
Zn 0.0000 2.0952 0.0000

=====

Record 21
4
Lattice="3.7179 0.0000 0.0000 0.0000 3.7179 0.0000 -1.8589 -1.8589 4.1386" Properties=species:S:1:pos:R:3 comment="MgZn2Ru | Alexandria via LeMat-Bulk | meta-GGA SCAN | PBEsol geometry" vol_a3_per_cell=57 sg="I-4m2, No. 119" delta_e_f_mev_per_atom=-134 density_g_cm3=7.4 total_magnetization_mub_per_fu=0.5 pbc="T T T"
Zn 0.0000 0.0000 0.0000
Zn 1.8589 0.0000 2.0693
Mg 1.8589 1.8589 0.0000
Ru 0.0000 1.8589 2.0693

=====

Record 22
4
Lattice="-0.7597 3.2520 0.7382 -3.1866 -1.2452 2.2061 2.3628 -0.1992 3.3090" Properties=species:S:1:pos:R:3 comment="MgZn2Ru | Alexandria via LeMat-Bulk | meta-GGA SCAN | PBEsol geometry" vol_a3_per_cell=57 sg="P4/mmm, No. 123" delta_e_f_mev_per_atom=-151 density_g_cm3=7.5 total_magnetization_mub_per_fu=0.0 pbc="T T T"
Zn -1.5933 -0.6226 1.1030
Mg -0.3798 1.6260 0.3691
Zn 1.1814 -0.0996 1.6545
Ru -0.7917 0.9038 3.1266

=====

Record 23
4
Lattice="3.1938 0.0000 0.0000 0.0000 3.1938 0.0000 0.0000 0.0000 5.7627" Properties=species:S:1:pos:R:3 comment="MgZn2Ru | Alexandria via LeMat-Bulk | meta-GGA SCAN | PBEsol geometry" vol_a3_per_cell=59 sg="P4/mmm, No. 123" delta_e_f_mev_per_atom=-99 density_g_cm3=7.2 total_magnetization_mub_per_fu=0.0 pbc="T T T"
Mg 1.5969 1.5969 0.0000
Zn 0.0000 0.0000 1.6004
Zn 0.0000 0.0000 4.1623
Ru 1.5969 1.5969 2.8813

=====

Record 24
4
Lattice="3.1982 0.0000 0.0000 0.0000 3.1982 0.0000 0.0000 0.0000 6.2043" Properties=species:S:1:pos:R:3 comment="MgZrRu2 | Alexandria via LeMat-Bulk | meta-GGA SCAN | PBEsol geometry" vol_a3_per_cell=63 sg="P4/mmm, No. 123" delta_e_f_mev_per_atom=-384 density_g_cm3=8.3 total_magnetization_mub_per_fu=0.0 pbc="T T T"
Ru 0.0000 0.0000 1.5509
Zr 1.5991 1.5991 0.0000
Ru 0.0000 0.0000 4.6534
Mg 1.5991 1.5991 3.1021

=====

Record 25
4
Lattice="3.2680 0.0000 0.0000 0.0000 4.7196 0.0000 -1.6340 -2.3598 4.9508" Properties=species:S:1:pos:R:3 comment="MgZr2Ru | Alexandria via LeMat-Bulk | meta-GGA SCAN | PBEsol geometry" vol_a3_per_cell=76 sg="Imm2, No. 44" delta_e_f_mev_per_atom=-256 density_g_cm3=6.7 total_magnetization_mub_per_fu=0.0 pbc="T T T"
Ru 1.6340 2.3598 2.4135
Zr 0.0000 0.0000 2.5143
Mg 0.0000 2.3598 4.6265
Zr 0.0000 2.3598 0.3474

=====

Record 26
4
Lattice="2.9817 -0.0161 0.0000 -1.0305 2.7980 0.0000 0.0000 0.0000 9.2711" Properties=species:S:1:pos:R:3 comment="MgZr2Ru | Alexandria via LeMat-Bulk | meta-GGA SCAN | PBEsol geometry" vol_a3_per_cell=77 sg="Cmm2, No. 35" delta_e_f_mev_per_atom=-30 density_g_cm3=6.6 total_magnetization_mub_per_fu=0.0 pbc="T T T"
Ru 0.9756 1.3910 2.2465
Mg 0.0000 0.0000 4.3139
Zr 0.0000 0.0000 0.3535
Zr 0.9756 1.3910 6.9928

=====

Record 27
4
Lattice="-0.1486 -1.8799 2.8440 3.4091 -0.0937 0.1162 0.0234 4.7382 3.1332" Properties=species:S:1:pos:R:3 comment="MgZrRu2 | Alexandria via LeMat-Bulk | meta-GGA SCAN | PBEsol geometry" vol_a3_per_cell=66 sg="P4mm, No. 99" delta_e_f_mev_per_atom=46 density_g_cm3=8.0 total_magnetization_mub_per_fu=0.0 pbc="T T T"
Ru 1.6364 0.2495 2.2976
Ru 0.0233 4.7110 3.1152
Zr 0.0108 2.1841 1.4442
Mg 1.6486 2.7275 3.9362

=====

Record 28
4
Lattice="-2.7154 0.6626 -1.6923 -0.9904 -3.0906 0.3790 -3.3286 1.8085 6.0493" Properties=species:S:1:pos:R:3 comment="MgZr2Ru | Alexandria via LeMat-Bulk | meta-GGA SCAN | PBEsol geometry" vol_a3_per_cell=76 sg="P4/mmm, No. 123" delta_e_f_mev_per_atom=-313 density_g_cm3=6.7 total_magnetization_mub_per_fu=0.0 pbc="T T T"
Mg -1.8529 -1.2140 -0.6566
Zr -0.9250 0.5026 1.6811
Zr -2.4036 1.3059 4.3682
Ru -3.5172 -0.3097 2.3680

=====

Record 29
4
Lattice="-2.1105 -1.2491 2.8379 -2.6796 -0.9925 -2.4296 4.2799 -2.9804 -0.6076" Properties=species:S:1:pos:R:3 comment="MgZrRu2 | Alexandria via LeMat-Bulk | meta-GGA SCAN | PBEsol geometry" vol_a3_per_cell=64 sg="I-4m2, No. 119" delta_e_f_mev_per_atom=-156 density_g_cm3=8.3 total_magnetization_mub_per_fu=0.0 pbc="T T T"
Zr -2.3950 -1.1208 0.2042
Ru -0.1128 -2.6752 1.2172
Mg -0.3974 -2.5468 -1.4165
Ru 0.0000 0.0000 0.0000

=====

Record 30
5
Lattice="-0.9383 -5.0307 1.3180 4.8493 -0.3626 2.0682 -1.8785 1.5767 4.6808" Properties=species:S:1:pos:R:3 comment="Mg3SbS | Alexandria via LeMat-Bulk | meta-GGA SCAN | PBEsol geometry" e_form_raw_ev_per_atom=0.17 vol_a3_per_cell=148 sg="Pm-3m, No. 221" density_g_cm3=2.6 total_magnetization_mub_per_fu=0.0 pbc="T T T"
Mg -0.9392 0.7883 2.3404
S 1.0163 -1.9083 4.0335
Mg -0.4691 -2.5153 0.6590
Sb 0.0000 0.0000 0.0000
Mg 2.4247 -0.1813 1.0341

=====

| no. | DFT total energy (eV per atom) | Fermi-level density of states (states/eV/f.u.) |
| --- | --- | --- |
| 1 | -28.275 | 2.426 |
| 2 | -35.692 | 4.680 |
| 3 | -35.985 | 2.497 |
| 4 | -36.269 | 1.231 |
| 5 | -35.948 | 2.737 |
| 6 | -44.411 | 3.510 |
| 7 | -26.354 | 4.175 |
| 8 | -25.528 | 2.667 |
| 9 | -18.361 | 1.009 |
| 10 | -18.335 | 2.264 |
| 11 | -25.518 | 3.256 |
| 12 | -18.276 | 1.450 |
| 13 | -14.701 | 1.597 |
| 14 | -16.842 | 1.945 |
| 15 | -14.684 | 1.757 |
| 16 | -14.497 | 2.253 |
| 17 | -15.649 | 2.000 |
| 18 | -14.711 | 1.813 |
| 19 | -16.866 | 1.294 |
| 20 | -14.657 | 1.862 |
| 21 | -16.842 | 1.553 |
| 22 | -16.858 | 1.754 |
| 23 | -16.807 | 2.111 |
| 24 | -26.716 | 3.597 |
| 25 | -25.555 | 2.959 |
| 26 | -25.330 | 2.972 |
| 27 | -26.285 | 5.404 |
| 28 | -25.612 | 1.971 |
| 29 | -26.487 | 3.996 |
| 30 | -12.187 | 3.058 |